4
Lattice="3.886 0.000 0.000 0.000 3.886 0.000 0.000 0.000 11.317" Properties=species:S:1:pos:R:3 comment="RbSr2Pt PBE-GGA optimized geometry" space_group="No. 123" dos_at_fermi_per_ev_fu=2.180 vol_a3_per_cell=171 e_tot_ev_per_cell=-11.80 pbc="T T T"
Rb 0.000 0.000 0.000
Sr 1.943 1.943 3.947
Sr 1.943 1.943 7.370
Pt 0.000 0.000 5.659

6
Lattice="0.000 3.957 3.957 3.957 0.000 3.957 3.957 3.957 0.000" Properties=species:S:1:pos:R:3 comment="RbSrPt4 PBE-GGA optimized geometry" space_group="No. 216" dos_at_fermi_per_ev_fu=2.917 vol_a3_per_cell=124 e_tot_ev_per_cell=-29.72 pbc="T T T"
Rb 0.000 0.000 0.000
Sr 5.935 5.935 5.935
Pt 2.969 2.969 2.969
Pt 4.945 4.945 2.969
Pt 4.945 2.969 4.945
Pt 2.969 4.945 4.945

10
Lattice="8.185 0.000 0.000 0.000 8.185 0.000 0.000 0.000 7.684" Properties=species:S:1:pos:R:3 comment="Rb2Sr2Pt PBE-GGA optimized geometry" space_group="No. 127" dos_at_fermi_per_ev_fu=3.302 vol_a3_per_cell=515 e_tot_ev_per_cell=-23.70 pbc="T T T"
Rb 1.518 2.574 0.000
Rb 2.574 6.667 0.000
Rb 5.611 1.518 0.000
Rb 6.667 5.611 0.000
Sr 1.517 5.610 3.842
Sr 2.575 1.517 3.842
Sr 5.610 6.668 3.842
Sr 6.668 2.575 3.842
Pt 0.000 0.000 3.842
Pt 4.093 4.093 3.842